DyYMg2Ag4 | PBE-GGA | optimized geometry

Its total energy is -27.98 eV per formula unit. As for the space-group type: Pmm2 (25).

Unit cell a=4.9347 b=6.9519 c=4.9339 alpha=90.00 beta=90.00 gamma=90.00
With the nearest neighbours (Å) after each atom.
Atoms (fractional coordinates):
Ag 0.5000 0.2500 0.2536  4 Mg 3.01-3.02, 2 Dy 3.02, 2 Y 3.02
Ag 0.5000 0.7500 0.2536  4 Mg 3.01-3.02, 2 Dy 3.02, 2 Y 3.02
Ag 0.0000 0.2497 0.7464  4 Mg 3.01-3.02, 2 Dy 3.02, 2 Y 3.02
Ag 0.0000 0.7503 0.7464  4 Mg 3.01-3.02, 2 Dy 3.02, 2 Y 3.02
Dy 0.5000 0.0000 0.7532  8 Ag 3.02
Mg 0.0000 0.0000 0.2481  8 Ag 3.01-3.02
Mg 0.5000 0.5000 0.7519  8 Ag 3.01-3.02
Y 0.0000 0.5000 0.2468  8 Ag 3.02